{
  "formula": "Er5As2S2",
  "functional": "PBE-GGA",
  "state": "relaxed",
  "crystal_system": "orthorhombic",
  "final_energy_ev_per_atom": -5.83,
  "formation_energy_uncorrected_ev_per_atom": -1.348,
  "density_g_cm3": 8.93,
  "cell": [[7.0121, -3.7029, 0.0000], [7.0121, 3.7029, 0.0000], [0.0000, 0.0000, 7.5229]],
  "species": ["Er", "Er", "Er", "Er", "Er", "Er", "Er", "Er", "Er", "Er", "As", "As", "As", "As", "S", "S", "S", "S"],
  "frac_coords": [[0.0000, 0.0000, 0.0000], [0.0207, 0.6986, 0.6518], [0.1986, 0.5207, 0.1518], [0.3014, 0.9793, 0.6518], [0.4793, 0.8014, 0.1518], [0.5000, 0.5000, 0.5000], [0.5207, 0.1986, 0.8482], [0.6986, 0.0207, 0.3482], [0.8014, 0.4793, 0.8482], [0.9793, 0.3014, 0.3482], [0.1457, 0.8543, 0.3542], [0.3543, 0.6457, 0.8542], [0.6457, 0.3543, 0.1458], [0.8543, 0.1457, 0.6458], [0.1939, 0.1939, 0.0000], [0.3061, 0.3061, 0.5000], [0.6939, 0.6939, 0.5000], [0.8061, 0.8061, 0.0000]]
}